(1)
DFT (PBE-GGA) results for crystalline Sr2ZnP2 at its relaxed geometry.

Summary:
DOS at the Fermi energy ... 1.75 states/eV/f.u.
DFT formation energy ... -0.795 eV per atom

The structure in POSCAR format:
```
Sr2ZnP2
1.0
2.1145 -3.6623 0.0000
2.1145 3.6623 0.0000
0.0000 0.0000 8.4434
P Sr Zn
2 2 1
direct
0.6667 0.3333 0.5000
0.3333 0.6667 0.0000
0.0000 0.0000 0.7028
0.0000 0.0000 0.2972
0.6667 0.3333 0.0000
```


(2)
DFT (PBE-GGA) results for crystalline SrPmF4 at its relaxed geometry.

Summary:
DOS at the Fermi energy ... 0.75 states/eV/f.u.
Formation energy from raw total energies ... -21.82 eV per formula unit

The structure in POSCAR format:
```
SrPmF4
1.0
-1.7581 3.2283 -1.8637
-0.3731 -2.2023 -3.4636
-5.3391 -1.8840 1.7732
F Sr Pm
4 1 1
direct
0.0014 0.4973 0.2849
0.0013 0.4973 0.7114
0.5013 0.9972 0.2849
0.5013 0.9973 0.7114
0.5013 0.4973 0.9981
0.0013 0.9973 0.4981
```


(3)
DFT (PBE-GGA) results for crystalline Sr2GeSe2 at its relaxed geometry.

Summary:
DOS at the Fermi energy ... 2.25 states/eV/f.u.
Formation energy from raw total energies ... -4.83 eV per formula unit
Energy above the lowest structure with this stoichiometry ... 0 meV per atom

The structure in POSCAR format:
```
Sr2GeSe2
1.0
-6.7162 0.2359 -5.3208
5.2925 -0.6638 -6.7099
-0.2771 -3.9675 0.1739
Se Sr Ge
4 4 2
direct
0.1562 0.6562 0.5000
0.8438 0.3438 0.5000
0.6562 0.8438 0.5000
0.3438 0.1562 0.5000
0.8503 0.6497 0.0000
0.3503 0.8503 0.0000
0.6497 0.1497 0.0000
0.1497 0.3503 0.0000
0.5000 0.5000 0.0000
0.0000 0.0000 0.0000
```


(4)
DFT (PBE-GGA) results for crystalline FeCo2N2 at its relaxed geometry.

Summary:
DOS at the Fermi energy ... 4.20 states/eV/f.u.
Formation energy from raw total energies ... 0.97 eV per formula unit
Energy above the lowest structure with this stoichiometry ... 0 meV per atom

The structure in POSCAR format:
```
FeCo2N2
1.0
-1.4838 1.6215 4.8128
-3.2237 -2.7503 -3.1681
1.6342 -4.0787 1.8780
Co N Fe
4 4 2
direct
0.6240 0.1577 0.8343
0.8423 0.3760 0.3343
0.3760 0.8423 0.3343
0.1577 0.6240 0.8343
0.1947 0.4817 0.1654
0.4817 0.1947 0.1654
0.5183 0.8053 0.6654
0.8053 0.5183 0.6654
0.1225 0.1225 0.0942
0.8775 0.8775 0.5942
```


(5)
DFT (PBE-GGA) results for crystalline SrY3F at its relaxed geometry.

Summary:
DOS at the Fermi energy ... 6.45 states/eV/f.u.
Formation energy from raw total energies ... -3.72 eV per formula unit
Energy above the lowest structure with this stoichiometry ... 0 meV per atom

The structure in POSCAR format:
```
SrY3F
1.0
-5.0653 -1.2209 0.2898
0.9717 -4.5791 -2.3064
0.7939 -2.1848 4.6721
Y Sr F
3 1 1
direct
0.5000 0.0000 0.0000
0.0000 0.0000 0.5000
0.0000 0.5000 0.0000
0.5000 0.5000 0.5000
0.0000 0.0000 0.0000
```


(6)
DFT (PBE-GGA) results for crystalline HfZn3Sb at its relaxed geometry.

Summary:
DOS at the Fermi energy ... 3.76 states/eV/f.u.
Formation energy from raw total energies ... 4.91 eV per formula unit
Energy above the lowest structure with this stoichiometry ... 72 meV per atom

The structure in POSCAR format:
```
HfZn3Sb
1.0
5.0180 0.0000 0.0000
0.0000 5.0180 0.0000
0.0000 0.0000 5.0180
Zn Hf Sb
3 1 1
direct
0.0000 0.5000 0.0000
0.5000 0.0000 0.0000
0.0000 0.0000 0.5000
0.5000 0.5000 0.5000
0.0000 0.0000 0.0000
```


(7)
DFT (PBE-GGA) results for crystalline Ho3Sb at its relaxed geometry.

Summary:
DOS at the Fermi energy ... 5.34 states/eV/f.u.
Formation energy from raw total energies ... -2.30 eV per formula unit
Energy above the lowest structure with this stoichiometry ... 0 meV per atom

The structure in POSCAR format:
```
Ho3Sb
1.0
-5.4116 -2.5864 -1.3423
-1.6607 -2.7072 11.9117
-5.6037 10.8506 1.6848
Ho Sb
24 8
direct
0.4635 0.9167 0.6092
0.5365 0.3908 0.9167
0.7848 0.5314 0.3561
0.5365 0.6092 0.0833
0.0365 0.4167 0.1092
0.4635 0.0833 0.3908
0.7152 0.9686 0.1439
0.0167 0.7141 0.1735
0.2152 0.3561 0.4686
0.9635 0.8908 0.4167
0.2152 0.6439 0.5314
0.4833 0.2141 0.6735
0.0365 0.5833 0.8908
0.5167 0.3265 0.2141
0.9635 0.1092 0.5833
0.9833 0.8265 0.7141
0.7152 0.0314 0.8561
0.5167 0.6735 0.7859
0.7848 0.4686 0.6439
0.4833 0.7859 0.3265
0.0167 0.2859 0.8265
0.9833 0.1735 0.2859
0.2848 0.8561 0.9686
0.2848 0.1439 0.0314
0.7097 0.7000 0.5431
0.7903 0.2000 0.0431
0.2097 0.9569 0.2000
0.2903 0.4569 0.7000
0.2097 0.0431 0.8000
0.2903 0.5431 0.3000
0.7903 0.8000 0.9569
0.7097 0.3000 0.4569
```


(8)
DFT (PBE-GGA) results for crystalline NpBeO3 at its relaxed geometry.

Summary:
DOS at the Fermi energy ... 5.91 states/eV/f.u.
Formation energy from raw total energies ... -12.63 eV per formula unit

The structure in POSCAR format:
```
NpBeO3
1.0
3.5698 0.0000 0.0000
0.0000 3.5698 0.0000
0.0000 0.0000 3.5698
O Np Be
3 1 1
direct
0.5000 0.5000 0.0000
0.0000 0.5000 0.5000
0.5000 0.0000 0.5000
0.0000 0.0000 0.0000
0.5000 0.5000 0.5000
```